#1
Density functional theory data (PBE-GGA) for a relaxed structure of NdSiH.

extended XYZ file:
```
6
Lattice="3.995 0.000 -1.203 0.000 3.952 0.000 -0.243 -0.001 6.407" Properties=species:S:1:pos:R:3 pbc="T T T"
Nd 0.799 0.455 5.987
Nd 3.778 2.432 1.410
Si 2.483 2.432 4.349
Si 2.094 0.456 3.049
H 1.433 2.432 0.855
H 3.388 0.456 0.136
```

Results
DOS at the Fermi energy = 0.70 states/eV/cell

***

#2
Density functional theory data (PBE-GGA) for a relaxed structure of NdSiH.

extended XYZ file:
```
12
Lattice="-0.391 -2.251 -3.265 5.968 2.229 -2.252 1.352 -6.940 4.622" Properties=species:S:1:pos:R:3 pbc="T T T"
H 0.528 -1.441 -2.718
H 2.698 -2.751 0.357
H 4.230 -4.211 -1.252
H 6.400 -5.521 1.823
Si 3.822 -5.781 2.311
Si 1.451 -5.537 2.427
Si 5.477 -1.424 -3.322
Si 3.107 -1.181 -3.206
Nd 4.845 -1.991 -0.424
Nd 1.261 -1.121 -0.594
Nd 5.667 -5.840 -0.301
Nd 2.083 -4.971 -0.470
```

Results
DOS at the Fermi energy = 4.06 states/eV/cell

***

Which of them is least stable? Easy: #2.

***

#1
Density functional theory data (PBE-GGA) for a relaxed structure of Nd2SiH.

extended XYZ file:
```
4
Lattice="-3.248 -2.362 1.702 0.203 -1.313 4.155 -4.488 5.118 4.126" Properties=species:S:1:pos:R:3 pbc="T T T"
H 0.000 0.000 0.000
Si -3.766 0.722 4.992
Nd -3.448 3.219 3.476
Nd -4.085 -1.776 6.508
```

Results
DOS at the Fermi energy = 2.67 states/eV/cell

***

#2
Density functional theory data (PBE-GGA) for a relaxed structure of Nd2SiH.

extended XYZ file:
```
12
Lattice="-2.858 -5.606 -0.302 2.776 1.836 5.349 -7.137 3.504 2.501" Properties=species:S:1:pos:R:3 pbc="T T T"
Nd -8.569 -1.144 3.658
Nd -5.265 0.164 1.996
Nd -2.403 -1.868 3.750
Nd 1.335 0.188 4.814
Nd -1.914 1.461 3.020
Nd -4.842 0.402 5.406
Si -0.033 -1.532 2.051
Si -3.110 3.426 4.843
Si -4.076 -2.160 0.654
H -3.606 0.061 3.514
H 0.341 1.597 3.367
H -7.524 -0.172 1.917
```

Results
DOS at the Fermi energy = 7.86 states/eV/cell

***

Which of them is least stable? Easy: #1.

***

#1
Density functional theory data (PBE-GGA) for a relaxed structure of Nd2SmH.

extended XYZ file:
```
4
Lattice="-0.069 3.182 1.339 -1.433 1.192 -2.907 -7.937 -1.552 3.276" Properties=species:S:1:pos:R:3 pbc="T T T"
H -0.751 2.187 -0.784
Nd -6.440 -1.259 2.658
Nd -1.496 -0.293 0.618
Sm -4.720 1.411 0.854
```

Results
DOS at the Fermi energy = 3.77 states/eV/cell

***

#2
Density functional theory data (PBE-GGA) for a relaxed structure of Nd2SmH.

extended XYZ file:
```
4
Lattice="3.718 0.000 0.000 1.859 3.220 0.000 1.859 1.073 8.810" Properties=species:S:1:pos:R:3 pbc="T T T"
H 0.000 0.000 0.000
Nd 5.577 3.220 7.357
Nd 1.859 1.073 1.453
Sm 3.718 2.147 4.405
```

Results
DOS at the Fermi energy = 2.66 states/eV/cell

***

#3
Density functional theory data (PBE-GGA) for a relaxed structure of Nd2SmH.

extended XYZ file:
```
4
Lattice="-1.732 -2.737 -1.780 0.127 -3.444 1.335 -7.872 -0.496 4.585" Properties=species:S:1:pos:R:3 pbc="T T T"
Nd -6.668 -0.753 3.808
Nd -1.751 -1.801 0.636
Sm -4.727 -3.341 2.062
H -8.942 -4.617 4.288
```

Results
DOS at the Fermi energy = 4.73 states/eV/cell

***

Which of them is least stable? Easy: #1.

***

#1
Density functional theory data (PBE-GGA) for a relaxed structure of NdSmH2.

extended XYZ file:
```
4
Lattice="-0.912 -2.633 -2.281 -1.470 -3.039 1.253 -6.148 0.462 -0.918" Properties=species:S:1:pos:R:3 pbc="T T T"
H -6.428 -3.894 -1.463
H -2.101 -1.316 -0.483
Nd -4.265 -2.605 -0.973
Sm 0.000 0.000 0.000
```

Results
DOS at the Fermi energy = 2.40 states/eV/cell

***

#2
Density functional theory data (PBE-GGA) for a relaxed structure of NdSmH2.

extended XYZ file:
```
4
Lattice="3.611 0.000 0.000 1.806 3.128 0.000 1.806 1.043 6.073" Properties=species:S:1:pos:R:3 pbc="T T T"
Nd 3.611 2.085 3.192
Sm 5.417 3.128 6.016
H 1.806 1.043 4.658
H 1.806 1.043 1.317
```

Results
DOS at the Fermi energy = 1.81 states/eV/cell

***

Which of them is least stable? Easy: #2.

***

#1
Density functional theory data (PBE-GGA) for a relaxed structure of Nd2SnH.

extended XYZ file:
```
4
Lattice="-0.629 -0.676 4.300 -2.936 -2.983 1.351 3.181 -5.538 1.844" Properties=species:S:1:pos:R:3 pbc="T T T"
H -0.192 -4.599 3.747
Nd -0.446 -6.742 5.622
Nd 0.062 -2.455 1.872
Sn 0.000 0.000 0.000
```

Results
DOS at the Fermi energy = 3.51 states/eV/cell

***

#2
Density functional theory data (PBE-GGA) for a relaxed structure of Nd2SnH.

extended XYZ file:
```
8
Lattice="4.332 0.000 0.000 0.000 4.837 -1.181 0.000 -0.363 9.010" Properties=species:S:1:pos:R:3 pbc="T T T"
Nd 0.000 2.418 -0.590
Nd 2.166 0.000 0.000
Nd 2.166 3.167 2.478
Nd 2.166 1.306 5.351
Sn 0.000 3.865 5.335
Sn 0.000 0.609 2.494
H 2.166 2.644 0.332
H 2.166 1.830 7.497
```

Results
DOS at the Fermi energy = 5.23 states/eV/cell

***

Which of them is least stable? Easy: #1.

***

#1
Density functional theory data (PBE-GGA) for a relaxed structure of Nd2SnH.

extended XYZ file:
```
4
Lattice="3.452 0.000 0.000 0.000 3.452 0.000 0.000 0.000 7.786" Properties=species:S:1:pos:R:3 pbc="T T T"
H 1.726 1.726 0.000
Nd 0.000 0.000 6.085
Nd 0.000 0.000 1.701
Sn 1.726 1.726 3.893
```

Results
DOS at the Fermi energy = 3.17 states/eV/cell

***

#2
Density functional theory data (PBE-GGA) for a relaxed structure of Nd2SnH.

extended XYZ file:
```
4
Lattice="4.172 0.001 0.001 -0.001 4.173 -0.001 -2.087 -2.085 5.366" Properties=species:S:1:pos:R:3 pbc="T T T"
Nd 2.533 1.118 2.859
Nd 0.444 -0.971 4.957
Sn 0.447 3.201 1.224
H 0.446 1.115 3.908
```

Results
DOS at the Fermi energy = 2.00 states/eV/cell

***

Which of them is least stable? Easy: #1.

***

#1
Density functional theory data (PBE-GGA) for a relaxed structure of Nd4Sn2H.

extended XYZ file:
```
14
Lattice="-6.012 -1.776 -1.679 2.443 -3.283 -5.278 3.796 -6.542 5.826" Properties=species:S:1:pos:R:3 pbc="T T T"
Nd -0.895 -4.472 -1.850
Nd 4.654 -8.818 1.301
Nd -4.427 -2.782 -2.432
Nd -2.112 -2.837 0.779
Nd -2.541 -6.707 0.882
Nd 2.339 -8.763 -1.910
Nd 1.122 -7.128 0.719
Nd 2.768 -4.894 -2.013
Sn -2.175 -3.914 -4.910
Sn 2.402 -7.686 3.779
Sn 1.121 -3.772 0.752
Sn -0.894 -7.828 -1.883
H 0.906 -4.251 -3.275
H -0.679 -7.349 2.144
```

Results
DOS at the Fermi energy = 12.11 states/eV/cell

***

#2
Density functional theory data (PBE-GGA) for a relaxed structure of Nd4Sn2H.

extended XYZ file:
```
7
Lattice="-1.836 -1.734 3.967 -3.943 -1.109 -2.310 0.442 -9.304 -1.075" Properties=species:S:1:pos:R:3 pbc="T T T"
H 0.000 0.000 0.000
Nd -4.587 -5.662 0.976
Nd -0.749 -6.484 -0.394
Nd -1.971 -0.555 -1.155
Nd -0.918 -0.867 1.983
Sn -3.360 -8.566 0.275
Sn -1.977 -3.581 0.307
```

Results
DOS at the Fermi energy = 7.17 states/eV/cell

***

Which of them is least stable? Easy: #1.

***

#1
Density functional theory data (PBE-GGA) for a relaxed structure of TbNdH2.

extended XYZ file:
```
4
Lattice="-2.243 0.592 2.710 -2.202 -2.586 1.091 2.704 -2.589 5.151" Properties=species:S:1:pos:R:3 pbc="T T T"
Tb -0.295 -3.902 7.652
Nd -0.755 -2.345 4.584
H 1.784 -2.166 4.297
H -0.642 -1.051 2.047
```

Results
DOS at the Fermi energy = 1.94 states/eV/cell

***

#2
Density functional theory data (PBE-GGA) for a relaxed structure of TbNdH2.

extended XYZ file:
```
4
Lattice="3.567 0.000 0.000 1.784 3.089 0.000 1.784 1.030 5.803" Properties=species:S:1:pos:R:3 pbc="T T T"
Nd 3.567 2.060 2.901
Tb 0.000 0.000 0.000
H 5.351 3.089 4.446
H 1.784 1.030 1.357
```

Results
DOS at the Fermi energy = 2.43 states/eV/cell

***

Which of them is least stable? Easy: #1.

***

#1
Density functional theory data (PBE-GGA) for a relaxed structure of TbNd2H.

extended XYZ file:
```
4
Lattice="-1.692 2.900 0.779 0.303 -0.725 3.356 7.494 4.303 0.254" Properties=species:S:1:pos:R:3 pbc="T T T"
Nd 6.065 3.483 0.206
Nd 1.429 0.821 0.048
Tb 3.052 3.239 2.195
H -0.695 1.088 2.068
```

Results
DOS at the Fermi energy = 3.79 states/eV/cell

***

#2
Density functional theory data (PBE-GGA) for a relaxed structure of TbNd2H.

extended XYZ file:
```
4
Lattice="3.693 0.000 0.000 1.847 3.199 0.000 1.847 1.066 8.778" Properties=species:S:1:pos:R:3 pbc="T T T"
Nd 5.540 3.199 7.314
Nd 1.847 1.066 1.464
Tb 3.693 2.132 4.389
H 0.000 0.000 0.000
```

Results
DOS at the Fermi energy = 2.54 states/eV/cell

***

Which of them is least stable? Easy: #1.

***

#1
Density functional theory data (PBE-GGA) for a relaxed structure of Nd2TeH.

extended XYZ file:
```
4
Lattice="3.984 0.000 0.000 1.992 3.451 0.000 1.992 1.150 7.224" Properties=species:S:1:pos:R:3 pbc="T T T"
H 0.000 0.000 0.000
Te 3.984 2.300 3.612
Nd 1.992 1.150 1.428
Nd 5.977 3.451 5.796
```

Results
DOS at the Fermi energy = 2.81 states/eV/cell

***

#2
Density functional theory data (PBE-GGA) for a relaxed structure of Nd2TeH.

extended XYZ file:
```
16
Lattice="-3.185 -7.020 -0.819 2.490 -0.443 -5.884 5.938 -4.733 2.869" Properties=species:S:1:pos:R:3 pbc="T T T"
Nd 0.994 -4.760 -3.808
Nd 3.044 -1.331 -4.480
Nd 0.989 -8.090 -1.453
Nd 2.198 -10.865 0.646
Nd 4.254 -4.106 -2.381
Nd 3.188 -7.710 -4.036
Nd 4.248 -7.437 -0.026
Nd 2.054 -4.486 0.202
Te 1.341 -2.102 -1.820
Te 6.068 -6.686 -2.960
Te -0.826 -5.511 -0.874
Te 3.902 -10.094 -2.014
H 2.223 -8.534 0.492
H 4.281 -5.106 -0.198
H 3.020 -3.663 -4.326
H 0.962 -7.090 -3.635
```

Results
DOS at the Fermi energy = 7.14 states/eV/cell

***

Which of them is least stable? Easy: #1.

***

#1
Density functional theory data (PBE-GGA) for a relaxed structure of NdThH2.

extended XYZ file:
```
4
Lattice="3.527 0.000 0.000 1.764 3.055 0.000 1.764 1.018 6.366" Properties=species:S:1:pos:R:3 pbc="T T T"
Nd 5.291 3.055 6.313
Th 3.527 2.036 3.261
H 1.764 1.018 4.817
H 1.764 1.018 1.525
```

Results
DOS at the Fermi energy = 4.12 states/eV/cell

***

#2
Density functional theory data (PBE-GGA) for a relaxed structure of NdThH2.

extended XYZ file:
```
4
Lattice="3.636 0.000 0.000 1.818 3.149 0.000 1.818 1.050 5.987" Properties=species:S:1:pos:R:3 pbc="T T T"
H 5.454 3.149 4.539
H 1.818 1.050 1.448
Nd 3.636 2.099 2.993
Th 0.000 0.000 0.000
```

Results
DOS at the Fermi energy = 2.57 states/eV/cell

***

Which of them is least stable? Easy: #1.

***

#1
Density functional theory data (PBE-GGA) for a relaxed structure of Nd2TmH.

extended XYZ file:
```
4
Lattice="3.666 0.000 0.000 1.833 3.175 0.000 1.833 1.058 8.762" Properties=species:S:1:pos:R:3 pbc="T T T"
H 0.000 0.000 0.000
Tm 3.666 2.117 4.381
Nd 5.499 3.175 7.282
Nd 1.833 1.058 1.481
```

Results
DOS at the Fermi energy = 3.38 states/eV/cell

***

#2
Density functional theory data (PBE-GGA) for a relaxed structure of Nd2TmH.

extended XYZ file:
```
4
Lattice="3.434 0.000 0.000 0.000 3.434 0.000 0.000 0.000 8.568" Properties=species:S:1:pos:R:3 pbc="T T T"
H 1.717 1.717 0.000
Tm 1.717 1.717 4.284
Nd 0.000 0.000 6.921
Nd 0.000 0.000 1.647
```

Results
DOS at the Fermi energy = 3.93 states/eV/cell

***

Which of them is least stable? Easy: #2.

***

#1
Density functional theory data (PBE-GGA) for a relaxed structure of NdYH.

extended XYZ file:
```
3
Lattice="-3.571 -0.374 0.831 1.311 -1.376 -3.158 1.143 -5.012 2.657" Properties=species:S:1:pos:R:3 pbc="T T T"
Y -1.451 -2.867 0.647
H 0.433 -4.328 -0.086
Nd 1.044 -4.577 2.427
```

Results
DOS at the Fermi energy = 2.84 states/eV/cell

***

#2
Density functional theory data (PBE-GGA) for a relaxed structure of NdYH.

extended XYZ file:
```
24
Lattice="3.584 0.000 0.000 0.000 11.634 0.039 0.000 -0.015 13.161" Properties=species:S:1:pos:R:3 pbc="T T T"
Y 0.000 10.661 13.002
Y 0.000 10.721 6.323
Y 1.792 10.573 3.234
Y 1.792 10.603 9.781
Y 0.000 4.570 6.454
Y 0.000 4.909 12.789
Y 1.792 1.908 4.725
Y 1.792 4.836 9.646
H 1.792 11.414 5.344
H 1.792 9.277 12.132
H 0.000 9.242 2.366
H 0.000 9.236 8.824
H 1.792 4.173 4.796
H 1.792 3.515 12.011
H 0.000 3.453 8.727
H 0.000 0.191 4.209
Nd 0.000 7.822 4.394
Nd 0.000 7.822 10.962
Nd 1.792 7.784 1.118
Nd 1.792 7.780 7.752
Nd 0.000 4.587 3.027
Nd 0.000 2.008 10.991
Nd 1.792 2.105 0.996
Nd 1.792 1.854 7.997
```

Results
DOS at the Fermi energy = 22.76 states/eV/cell

***

Which of them is least stable? Easy: #2.